Entry from Alexandria via LeMat-Bulk: a relaxed structure of AcPuTlAg (PBE-GGA).

## Properties
Crystal system: cubic
ρ (Mg/m³): 10.758
Energy of formation (eV per formula unit): -0.278

a b c (Å): 5.550 5.550 5.550
angles (deg): 60.00 60.00 60.00
Each line ends with the local moment (μB).
Positions (direct):
Tl: 0.750 0.750 0.750  -0.01
Pu: 0.000 0.000 0.000  5.51
Ag: 0.250 0.250 0.250  0.01
Ac: 0.500 0.500 0.500  0.04